The following is a GGA-PBE calculation of an optimized crystal structure of La3NpSb4, from the Alexandria database.

Calculated values
E_form (uncorrected) = -990 meV/atom
Total moment = 3.9 μB per formula unit
Calculated total energy = -6.52 eV/atom

a b c (Å): 7.920 9.154 7.918
angles (deg): 90.00 109.51 90.00
Sites, in units of the cell vectors:
La1 0.000 0.125 0.250
La2 0.000 0.375 0.750
La3 0.000 0.625 0.250
La4 0.000 0.875 0.750
La5 0.500 0.125 0.750
La6 0.500 0.875 0.250
Np1 0.500 0.375 0.250
Np2 0.500 0.625 0.750
Sb1 0.254 0.130 0.006
Sb2 0.254 0.870 0.506
Sb3 0.260 0.380 0.499
Sb4 0.260 0.620 0.999
Sb5 0.740 0.380 0.001
Sb6 0.740 0.620 0.501
Sb7 0.746 0.130 0.494
Sb8 0.746 0.870 0.994

The following is a GGA-PBE calculation of an optimized crystal structure of TmMgNi, from the Alexandria database.

Calculated values
Total moment = 0.0 μB per formula unit
Energy relative to the elements = -220 meV/atom
Calculated total energy = -4.17 eV/atom

a b c (Å): 3.245 3.245 11.390
angles (deg): 90.00 90.00 90.21
Sites, in units of the cell vectors:
Tm1 0.000 0.000 0.226
Tm2 0.000 0.000 0.774
Mg1 0.000 0.000 0.500
Mg2 0.500 0.500 0.000
Ni1 0.500 0.500 0.368
Ni2 0.500 0.500 0.632

The following is a GGA-PBE calculation of an optimized crystal structure of PHSeCl2, from the Alexandria database.

Calculated values
Total moment = 0.0 μB per formula unit
Calculated total energy = -2.32 eV/atom
E above lowest polymorph = 2.9 kJ/mol of atoms

a b c (Å): 4.150 4.150 4.681
angles (deg): 90.00 90.00 90.00
Sites, in units of the cell vectors:
P1 0.000 0.000 0.000
H1 0.000 0.000 0.500
Se1 0.500 0.500 0.000
Cl1 0.000 0.500 0.500
Cl2 0.500 0.000 0.500

The following is a GGA-PBE calculation of an optimized crystal structure of CaAcLaPr, from the Alexandria database.

Calculated values
Total moment = 0.0 μB per formula unit
Energy relative to the elements = 29 meV/atom
Calculated total energy = -3.92 eV/atom
E above lowest polymorph = 0.0 kJ/mol of atoms

a b c (Å): 12.777 12.777 12.777
angles (deg): 17.26 17.26 17.26
Sites, in units of the cell vectors:
Ca1 0.000 0.000 0.000
Ac1 0.246 0.246 0.246
La1 0.752 0.752 0.752
Pr1 0.497 0.497 0.497

What is the formula in the first record? La3NpSb4

Which value of total moment does entry 4 give? 0.0 μB per formula unit

Which of these has the highest calculated total energy? PHSeCl2

Please write out number 4 again, unchanged.
The following is a GGA-PBE calculation of an optimized crystal structure of CaAcLaPr, from the Alexandria database.

Calculated values
Total moment = 0.0 μB per formula unit
Energy relative to the elements = 29 meV/atom
Calculated total energy = -3.92 eV/atom
E above lowest polymorph = 0.0 kJ/mol of atoms

a b c (Å): 12.777 12.777 12.777
angles (deg): 17.26 17.26 17.26
Sites, in units of the cell vectors:
Ca1 0.000 0.000 0.000
Ac1 0.246 0.246 0.246
La1 0.752 0.752 0.752
Pr1 0.497 0.497 0.497